## MnTl (PBE)

Data for crystalline MnTl at its relaxed geometry.

Properties
- symmetry = Pmmn
- formation enthalpy at 0 K (eV per atom) = 0.585

Unit cell a=3.1665 b=5.3054 c=4.9852 alpha=90.00 beta=90.00 gamma=90.00
Closest atoms and distances in Å follow each position.
Fractional positions:
Mn (0.0000, 0.0000, 0.0175)  6 Tl 2.89-3.02, 2 Mn 3.17
Mn (0.5000, 0.5000, 0.8159)  6 Tl 2.89-3.02, 2 Mn 3.17
Tl (0.5000, 0.0000, 0.5330)  6 Mn 2.89-3.02, 2 Tl 3.17
Tl (0.0000, 0.5000, 0.3003)  6 Mn 2.89-3.02, 2 Tl 3.17